1.
Here is a relaxed structure of Pr2PtO6 from Alexandria via LeMat-Bulk. Energies are from GGA-PBE.

```
data_Pr2PtO6
_cell_length_a 6.6101
_cell_length_b 6.6101
_cell_length_c 6.6101
_cell_angle_alpha 146.72
_cell_angle_beta 130.10
_cell_angle_gamma 61.31
_space_group_name_H-M_alt 'P 1'
_space_group_IT_number 1
loop_
_space_group_symop_operation_xyz
'x,y,z'
loop_
_atom_site_label
_atom_site_type_symbol
_atom_site_fract_x
_atom_site_fract_y
_atom_site_fract_z
Pr1 Pr 0.1686 0.1686 0.0000
Pr2 Pr 0.8314 0.8314 0.0000
Pt1 Pt 0.5000 0.5000 0.0000
O1 O 0.1246 0.3536 0.7710
O2 O 0.2950 0.0000 0.2950
O3 O 0.4174 0.6464 0.7710
O4 O 0.5826 0.3536 0.2290
O5 O 0.7050 0.0000 0.7050
O6 O 0.8754 0.6464 0.2290
```

Values from the calculation:
- Uncorrected formation energy: -1.79 eV/atom
- DFT total energy: -6.833 eV/atom
- Space group: Immm, No. 71

2.
Here is a relaxed structure of Pr2PtO from Alexandria via LeMat-Bulk. Energies are from GGA-PBE.

```
data_Pr2PtO
_cell_length_a 7.8897
_cell_length_b 7.8897
_cell_length_c 7.8897
_cell_angle_alpha 32.27
_cell_angle_beta 32.27
_cell_angle_gamma 32.27
_space_group_name_H-M_alt 'P 1'
_space_group_IT_number 1
loop_
_space_group_symop_operation_xyz
'x,y,z'
loop_
_atom_site_label
_atom_site_type_symbol
_atom_site_fract_x
_atom_site_fract_y
_atom_site_fract_z
Pr1 Pr 0.0957 0.0957 0.0957
Pr2 Pr 0.9043 0.9043 0.9043
Pt1 Pt 0.5000 0.5000 0.5000
O1 O 0.0000 0.0000 0.0000
```

Values from the calculation:
- Uncorrected formation energy: -1.60 eV/atom
- Excess energy over the best structure of this formula in the dataset: 171 meV/atom
- DFT total energy: -6.738 eV/atom
- Space group: R-3m, No. 166

3.
Here is a relaxed structure of Pr3PtO6 from Alexandria via LeMat-Bulk. Energies are from GGA-PBE.

```
data_Pr3PtO6
_cell_length_a 5.7878
_cell_length_b 5.9355
_cell_length_c 10.3761
_cell_angle_alpha 90.00
_cell_angle_beta 118.45
_cell_angle_gamma 90.00
_space_group_name_H-M_alt 'P 1'
_space_group_IT_number 1
loop_
_space_group_symop_operation_xyz
'x,y,z'
loop_
_atom_site_label
_atom_site_type_symbol
_atom_site_fract_x
_atom_site_fract_y
_atom_site_fract_z
Pr1 Pr 0.0000 0.0000 0.0000
Pr2 Pr 0.0000 0.5000 0.5000
Pr3 Pr 0.2942 0.0529 0.7588
Pr4 Pr 0.2942 0.4471 0.2588
Pr5 Pr 0.7058 0.5529 0.7412
Pr6 Pr 0.7058 0.9471 0.2412
Pt1 Pt 0.5000 0.0000 0.5000
Pt2 Pt 0.5000 0.5000 0.0000
O1 O 0.0901 0.0842 0.2440
O2 O 0.0901 0.4158 0.7440
O3 O 0.3174 0.7040 0.0865
O4 O 0.3174 0.7960 0.5865
O5 O 0.3811 0.2234 0.0741
O6 O 0.3811 0.2766 0.5741
O7 O 0.6189 0.7234 0.4259
O8 O 0.6189 0.7766 0.9259
O9 O 0.6826 0.2040 0.4135
O10 O 0.6826 0.2960 0.9135
O11 O 0.9099 0.5842 0.2560
O12 O 0.9099 0.9158 0.7560
```

Values from the calculation:
- Uncorrected formation energy: -2.46 eV/atom
- Excess energy over the best structure of this formula in the dataset: 59 meV/atom
- DFT total energy: -7.472 eV/atom
- Space group: P2_1/c, No. 14

4.
Here is a relaxed structure of PrPtO4 from Alexandria via LeMat-Bulk. Energies are from GGA-PBE.

```
data_PrPtO4
_cell_length_a 5.4717
_cell_length_b 5.4796
_cell_length_c 5.2949
_cell_angle_alpha 90.00
_cell_angle_beta 95.78
_cell_angle_gamma 90.00
_space_group_name_H-M_alt 'P 1'
_space_group_IT_number 1
loop_
_space_group_symop_operation_xyz
'x,y,z'
loop_
_atom_site_label
_atom_site_type_symbol
_atom_site_fract_x
_atom_site_fract_y
_atom_site_fract_z
Pr1 Pr 0.0000 0.0000 0.0000
Pr2 Pr 0.0000 0.5000 0.5000
Pt1 Pt 0.5000 0.0000 0.5000
Pt2 Pt 0.5000 0.5000 0.0000
O1 O 0.1761 0.1337 0.4110
O2 O 0.1761 0.3663 0.9110
O3 O 0.3488 0.7114 0.2715
O4 O 0.3488 0.7886 0.7715
O5 O 0.6512 0.2114 0.2285
O6 O 0.6512 0.2885 0.7285
O7 O 0.8239 0.6337 0.0890
O8 O 0.8239 0.8663 0.5890
```

Values from the calculation:
- Uncorrected formation energy: -1.56 eV/atom
- DFT total energy: -6.665 eV/atom
- Space group: P2_1/c, No. 14

5.
Here is a relaxed structure of Pr2PtO from Alexandria via LeMat-Bulk. Energies are from GGA-PBE.

```
data_Pr2PtO
_cell_length_a 5.9828
_cell_length_b 5.9921
_cell_length_c 11.8236
_cell_angle_alpha 90.00
_cell_angle_beta 116.37
_cell_angle_gamma 90.00
_space_group_name_H-M_alt 'P 1'
_space_group_IT_number 1
loop_
_space_group_symop_operation_xyz
'x,y,z'
loop_
_atom_site_label
_atom_site_type_symbol
_atom_site_fract_x
_atom_site_fract_y
_atom_site_fract_z
Pr1 Pr 0.0761 0.2385 0.1010
Pr2 Pr 0.0761 0.7615 0.6010
Pr3 Pr 0.3259 0.2119 0.8552
Pr4 Pr 0.3259 0.7881 0.3552
Pr5 Pr 0.6741 0.2119 0.6448
Pr6 Pr 0.6741 0.7881 0.1448
Pr7 Pr 0.9239 0.2385 0.3990
Pr8 Pr 0.9239 0.7615 0.8990
Pt1 Pt 0.4000 0.2914 0.3710
Pt2 Pt 0.4000 0.7086 0.8710
Pt3 Pt 0.6000 0.2914 0.1290
Pt4 Pt 0.6000 0.7086 0.6290
O1 O 0.0458 0.1529 0.6235
O2 O 0.0458 0.8471 0.1235
O3 O 0.9542 0.1529 0.8765
O4 O 0.9542 0.8471 0.3765
```

Values from the calculation:
- Uncorrected formation energy: -1.77 eV/atom
- Excess energy over the best structure of this formula in the dataset: 0 meV/atom
- DFT total energy: -6.908 eV/atom
- Space group: P2/c, No. 13

6.
Here is a relaxed structure of PrPtO3 from Alexandria via LeMat-Bulk. Energies are from GGA-PBE.

```
data_PrPtO3
_cell_length_a 7.6854
_cell_length_b 4.9477
_cell_length_c 9.0924
_cell_angle_alpha 90.00
_cell_angle_beta 117.14
_cell_angle_gamma 90.00
_space_group_name_H-M_alt 'P 1'
_space_group_IT_number 1
loop_
_space_group_symop_operation_xyz
'x,y,z'
loop_
_atom_site_label
_atom_site_type_symbol
_atom_site_fract_x
_atom_site_fract_y
_atom_site_fract_z
Pr1 Pr 0.2066 0.2456 0.1174
Pr2 Pr 0.2066 0.2544 0.6174
Pr3 Pr 0.7934 0.7456 0.3826
Pr4 Pr 0.7934 0.7544 0.8826
Pt1 Pt 0.4121 0.7313 0.0433
Pt2 Pt 0.4121 0.7687 0.5433
Pt3 Pt 0.5879 0.2313 0.4567
Pt4 Pt 0.5879 0.2687 0.9567
O1 O 0.1335 0.7239 0.5151
O2 O 0.1335 0.7761 0.0151
O3 O 0.3051 0.1189 0.4065
O4 O 0.3051 0.3811 0.9065
O5 O 0.4550 0.5669 0.3227
O6 O 0.4550 0.9331 0.8227
O7 O 0.5450 0.0669 0.1773
O8 O 0.5450 0.4331 0.6773
O9 O 0.6949 0.6189 0.0935
O10 O 0.6949 0.8811 0.5935
O11 O 0.8665 0.2239 0.9849
O12 O 0.8665 0.2761 0.4849
```

Values from the calculation:
- Uncorrected formation energy: -1.73 eV/atom
- DFT total energy: -6.869 eV/atom
- Space group: P2_1/c, No. 14

7.
Here is a relaxed structure of Pr3PtO6 from Alexandria via LeMat-Bulk. Energies are from GGA-PBE.

```
data_Pr3PtO6
_cell_length_a 6.8453
_cell_length_b 6.8453
_cell_length_c 6.8453
_cell_angle_alpha 98.53
_cell_angle_beta 98.53
_cell_angle_gamma 98.53
_space_group_name_H-M_alt 'P 1'
_space_group_IT_number 1
loop_
_space_group_symop_operation_xyz
'x,y,z'
loop_
_atom_site_label
_atom_site_type_symbol
_atom_site_fract_x
_atom_site_fract_y
_atom_site_fract_z
Pr1 Pr 0.1045 0.7839 0.6171
Pr2 Pr 0.2161 0.3829 0.8955
Pr3 Pr 0.3829 0.8955 0.2161
Pr4 Pr 0.6171 0.1045 0.7839
Pr5 Pr 0.7839 0.6171 0.1045
Pr6 Pr 0.8955 0.2161 0.3829
Pt1 Pt 0.0000 0.0000 0.0000
Pt2 Pt 0.5000 0.5000 0.5000
O1 O 0.0597 0.9115 0.3110
O2 O 0.0885 0.6890 0.9403
O3 O 0.2019 0.4428 0.5484
O4 O 0.3110 0.0597 0.9115
O5 O 0.4428 0.5484 0.2019
O6 O 0.4516 0.7981 0.5572
O7 O 0.5484 0.2019 0.4428
O8 O 0.5572 0.4516 0.7981
O9 O 0.6890 0.9403 0.0885
O10 O 0.7981 0.5572 0.4516
O11 O 0.9115 0.3110 0.0597
O12 O 0.9403 0.0885 0.6890
```

Values from the calculation:
- Uncorrected formation energy: -2.52 eV/atom
- Excess energy over the best structure of this formula in the dataset: 0 meV/atom
- DFT total energy: -7.531 eV/atom
- Space group: R-3, No. 148

8.
Here is a relaxed structure of PrPt2O4 from Alexandria via LeMat-Bulk. Energies are from GGA-PBE.

```
data_PrPt2O4
_cell_length_a 5.9898
_cell_length_b 5.9898
_cell_length_c 7.0765
_cell_angle_alpha 99.21
_cell_angle_beta 99.21
_cell_angle_gamma 110.67
_space_group_name_H-M_alt 'P 1'
_space_group_IT_number 1
loop_
_space_group_symop_operation_xyz
'x,y,z'
loop_
_atom_site_label
_atom_site_type_symbol
_atom_site_fract_x
_atom_site_fract_y
_atom_site_fract_z
Pr1 Pr 0.0961 0.9039 0.7500
Pr2 Pr 0.9039 0.0961 0.2500
Pt1 Pt 0.0000 0.5000 0.0000
Pt2 Pt 0.5000 0.0000 0.5000
Pt3 Pt 0.5000 0.5000 0.0000
Pt4 Pt 0.5000 0.5000 0.5000
O1 O 0.1597 0.2476 0.0064
O2 O 0.2476 0.1597 0.5064
O3 O 0.2915 0.6859 0.5474
O4 O 0.3141 0.7085 0.9526
O5 O 0.6859 0.2915 0.0474
O6 O 0.7085 0.3141 0.4526
O7 O 0.7524 0.8403 0.4936
O8 O 0.8403 0.7524 0.9936
```

Values from the calculation:
- Uncorrected formation energy: -1.34 eV/atom
- DFT total energy: -6.577 eV/atom
- Space group: C2/c, No. 15

9.
Here is a relaxed structure of Pr6PtO12 from Alexandria via LeMat-Bulk. Energies are from GGA-PBE.

```
data_Pr6PtO12
_cell_length_a 6.7873
_cell_length_b 6.7873
_cell_length_c 6.7873
_cell_angle_alpha 98.51
_cell_angle_beta 98.51
_cell_angle_gamma 98.51
_space_group_name_H-M_alt 'P 1'
_space_group_IT_number 1
loop_
_space_group_symop_operation_xyz
'x,y,z'
loop_
_atom_site_label
_atom_site_type_symbol
_atom_site_fract_x
_atom_site_fract_y
_atom_site_fract_z
Pr1 Pr 0.1109 0.6439 0.8064
Pr2 Pr 0.1936 0.8891 0.3561
Pr3 Pr 0.3561 0.1936 0.8891
Pr4 Pr 0.6439 0.8064 0.1109
Pr5 Pr 0.8064 0.1109 0.6439
Pr6 Pr 0.8891 0.3561 0.1936
Pt1 Pt 0.5000 0.5000 0.5000
O1 O 0.0581 0.3223 0.9073
O2 O 0.0927 0.9419 0.6777
O3 O 0.2080 0.5347 0.4359
O4 O 0.3223 0.9073 0.0581
O5 O 0.4359 0.2080 0.5347
O6 O 0.4653 0.5641 0.7920
O7 O 0.5347 0.4359 0.2080
O8 O 0.5641 0.7920 0.4653
O9 O 0.6777 0.0927 0.9419
O10 O 0.7920 0.4653 0.5641
O11 O 0.9073 0.0581 0.3223
O12 O 0.9419 0.6777 0.0927
```

Values from the calculation:
- Uncorrected formation energy: -2.70 eV/atom
- DFT total energy: -7.660 eV/atom
- Space group: R-3, No. 148

10.
Here is a relaxed structure of Pr12Pt3O5 from Alexandria via LeMat-Bulk. Energies are from GGA-PBE.

```
data_Pr12Pt3O5
_cell_length_a 13.7925
_cell_length_b 13.7925
_cell_length_c 13.7925
_cell_angle_alpha 109.47
_cell_angle_beta 109.47
_cell_angle_gamma 109.47
_space_group_name_H-M_alt 'P 1'
_space_group_IT_number 1
loop_
_space_group_symop_operation_xyz
'x,y,z'
loop_
_atom_site_label
_atom_site_type_symbol
_atom_site_fract_x
_atom_site_fract_y
_atom_site_fract_z
Pr1 Pr 0.0215 0.2058 0.1163
Pr2 Pr 0.0215 0.3157 0.9052
Pr3 Pr 0.0895 0.7058 0.6843
Pr4 Pr 0.0895 0.8837 0.4052
Pr5 Pr 0.0948 0.6163 0.4105
Pr6 Pr 0.0948 0.9785 0.6843
Pr7 Pr 0.1163 0.0215 0.2058
Pr8 Pr 0.1163 0.5948 0.9105
Pr9 Pr 0.1843 0.2058 0.5895
Pr10 Pr 0.1843 0.4785 0.5948
Pr11 Pr 0.2058 0.1163 0.0215
Pr12 Pr 0.2058 0.5895 0.1843
Pr13 Pr 0.2942 0.3157 0.9105
Pr14 Pr 0.2942 0.4785 0.3837
Pr15 Pr 0.3157 0.9052 0.0215
Pr16 Pr 0.3157 0.9105 0.2942
Pr17 Pr 0.3837 0.2942 0.4785
Pr18 Pr 0.3837 0.5895 0.9052
Pr19 Pr 0.4052 0.0895 0.8837
Pr20 Pr 0.4052 0.8157 0.5215
Pr21 Pr 0.4105 0.0948 0.6163
Pr22 Pr 0.4105 0.8157 0.7942
Pr23 Pr 0.4785 0.3837 0.2942
Pr24 Pr 0.4785 0.5948 0.1843
Pr25 Pr 0.5215 0.4052 0.8157
Pr26 Pr 0.5215 0.6163 0.7058
Pr27 Pr 0.5895 0.1843 0.2058
Pr28 Pr 0.5895 0.9052 0.3837
Pr29 Pr 0.5948 0.1843 0.4785
Pr30 Pr 0.5948 0.9105 0.1163
Pr31 Pr 0.6163 0.4105 0.0948
Pr32 Pr 0.6163 0.7058 0.5215
Pr33 Pr 0.6843 0.0895 0.7058
Pr34 Pr 0.6843 0.0948 0.9785
Pr35 Pr 0.7058 0.5215 0.6163
Pr36 Pr 0.7058 0.6843 0.0895
Pr37 Pr 0.7942 0.4105 0.8157
Pr38 Pr 0.7942 0.8837 0.9785
Pr39 Pr 0.8157 0.5215 0.4052
Pr40 Pr 0.8157 0.7942 0.4105
Pr41 Pr 0.8837 0.4052 0.0895
Pr42 Pr 0.8837 0.9785 0.7942
Pr43 Pr 0.9052 0.0215 0.3157
Pr44 Pr 0.9052 0.3837 0.5895
Pr45 Pr 0.9105 0.1163 0.5948
Pr46 Pr 0.9105 0.2942 0.3157
Pr47 Pr 0.9785 0.6843 0.0948
Pr48 Pr 0.9785 0.7942 0.8837
Pt1 Pt 0.1250 0.2500 0.3750
Pt2 Pt 0.1250 0.3750 0.7500
Pt3 Pt 0.2500 0.3750 0.1250
Pt4 Pt 0.2500 0.8750 0.6250
Pt5 Pt 0.3750 0.1250 0.2500
Pt6 Pt 0.3750 0.7500 0.1250
Pt7 Pt 0.6250 0.2500 0.8750
Pt8 Pt 0.6250 0.8750 0.7500
Pt9 Pt 0.7500 0.1250 0.3750
Pt10 Pt 0.7500 0.6250 0.8750
Pt11 Pt 0.8750 0.6250 0.2500
Pt12 Pt 0.8750 0.7500 0.6250
O1 O 0.0000 0.0000 0.0000
O2 O 0.0000 0.0000 0.5000
O3 O 0.0000 0.5000 0.0000
O4 O 0.0000 0.5000 0.5000
O5 O 0.1250 0.7500 0.8750
O6 O 0.1250 0.8750 0.2500
O7 O 0.2500 0.1250 0.8750
O8 O 0.2500 0.6250 0.3750
O9 O 0.3750 0.2500 0.6250
O10 O 0.3750 0.6250 0.7500
O11 O 0.5000 0.0000 0.0000
O12 O 0.5000 0.0000 0.5000
O13 O 0.5000 0.5000 0.0000
O14 O 0.5000 0.5000 0.5000
O15 O 0.6250 0.3750 0.2500
O16 O 0.6250 0.7500 0.3750
O17 O 0.7500 0.3750 0.6250
O18 O 0.7500 0.8750 0.1250
O19 O 0.8750 0.1250 0.7500
O20 O 0.8750 0.2500 0.1250
```

Values from the calculation:
- Uncorrected formation energy: -1.61 eV/atom
- DFT total energy: -6.625 eV/atom
- Space group: Ia-3d, No. 230

11.
Here is a relaxed structure of Rb2Pr2PtO6 from Alexandria via LeMat-Bulk. Energies are from GGA-PBE.

```
data_Rb2Pr2PtO6
_cell_length_a 6.0450
_cell_length_b 6.0450
_cell_length_c 6.9225
_cell_angle_alpha 97.24
_cell_angle_beta 97.24
_cell_angle_gamma 119.42
_space_group_name_H-M_alt 'P 1'
_space_group_IT_number 1
loop_
_space_group_symop_operation_xyz
'x,y,z'
loop_
_atom_site_label
_atom_site_type_symbol
_atom_site_fract_x
_atom_site_fract_y
_atom_site_fract_z
Rb1 Rb 0.1589 0.8411 0.0000
Rb2 Rb 0.8411 0.1589 0.0000
Pr1 Pr 0.3358 0.6642 0.5000
Pr2 Pr 0.6642 0.3358 0.5000
Pt1 Pt 0.0000 0.0000 0.5000
O1 O 0.0436 0.3452 0.6653
O2 O 0.2417 0.2417 0.3285
O3 O 0.3452 0.0436 0.6653
O4 O 0.6548 0.9564 0.3347
O5 O 0.7583 0.7583 0.6715
O6 O 0.9564 0.6548 0.3347
```

Values from the calculation:
- Uncorrected formation energy: -1.95 eV/atom
- DFT total energy: -6.249 eV/atom
- Space group: C2/m, No. 12

12.
Here is a relaxed structure of Rb3Pr3PtO8 from Alexandria via LeMat-Bulk. Energies are from GGA-PBE.

```
data_Rb3Pr3PtO8
_cell_length_a 7.7938
_cell_length_b 7.7938
_cell_length_c 7.7938
_cell_angle_alpha 54.57
_cell_angle_beta 54.57
_cell_angle_gamma 54.57
_space_group_name_H-M_alt 'P 1'
_space_group_IT_number 1
loop_
_space_group_symop_operation_xyz
'x,y,z'
loop_
_atom_site_label
_atom_site_type_symbol
_atom_site_fract_x
_atom_site_fract_y
_atom_site_fract_z
Rb1 Rb 0.0000 0.5000 0.5000
Rb2 Rb 0.5000 0.0000 0.5000
Rb3 Rb 0.5000 0.5000 0.0000
Pr1 Pr 0.0000 0.0000 0.5000
Pr2 Pr 0.0000 0.5000 0.0000
Pr3 Pr 0.5000 0.0000 0.0000
Pt1 Pt 0.5000 0.5000 0.5000
O1 O 0.2268 0.2268 0.2268
O2 O 0.2584 0.7046 0.7046
O3 O 0.2954 0.2954 0.7416
O4 O 0.2954 0.7416 0.2954
O5 O 0.7046 0.2584 0.7046
O6 O 0.7046 0.7046 0.2584
O7 O 0.7416 0.2954 0.2954
O8 O 0.7732 0.7732 0.7732
```

Values from the calculation:
- Uncorrected formation energy: -2.10 eV/atom
- DFT total energy: -6.299 eV/atom
- Space group: R-3m, No. 166